Computed, not measured: crystalline KSbRu2I at its relaxed geometry at the PBE-GGA level of DFT.

Geometry as CIF:
```
data_KSbRu2I
_cell_length_a 5.004
_cell_length_b 5.004
_cell_length_c 5.940
_cell_angle_alpha 90.00
_cell_angle_beta 90.00
_cell_angle_gamma 90.00
_symmetry_space_group_name_H-M 'P 4/m m m'
_symmetry_Int_Tables_number 123
_symmetry_space_group_name_Hall '-P 4 2'
loop_
_atom_site_label
_atom_site_fract_x
_atom_site_fract_y
_atom_site_fract_z
K1 0.000 0.000 0.000
Sb1 0.000 0.000 0.500
Ru1 0.000 0.500 0.000
I1 0.500 0.500 0.500
```

Formation energy from raw total energies   225 kJ/mol of atoms
DFT total energy   -2.737 eV per atom
Size of the total moment   4.3 μB per formula unit